(1)
{"formula": "TlNi", "functional": "GGA-PBE", "state": "relaxed", "final_energy_ev_per_cell": -15.23, "dos_ef_per_ev_atom": 0.745, "lattice_angstrom": [[-3.313, -0.850, 1.331], [1.709, -1.777, 3.119], [1.584, 4.731, 1.827]], "species": ["Ni", "Ni", "Tl", "Tl"], "fractional_positions": [[0.929, 0.250, 0.357], [0.071, 0.750, 0.643], [0.354, 0.750, 0.207], [0.646, 0.250, 0.793]]}


(2)
{"formula": "TlNi", "functional": "GGA-PBE", "state": "relaxed", "final_energy_ev_per_cell": -7.33, "dos_ef_per_ev_atom": 0.589, "lattice_angstrom": [[-3.959, -1.539, -0.642], [-1.853, -2.395, -3.047], [-1.732, -3.930, -0.118]], "species": ["Ni", "Tl"], "fractional_positions": [[0.000, 0.000, 0.000], [0.500, 0.500, 0.500]]}


(3)
{"formula": "TlNi", "functional": "GGA-PBE", "state": "relaxed", "final_energy_ev_per_cell": -7.37, "dos_ef_per_ev_atom": 0.694, "lattice_angstrom": [[3.300, 0.000, 0.000], [-1.650, 2.858, 0.000], [0.000, 0.000, 3.870]], "species": ["Ni", "Tl"], "fractional_positions": [[0.000, 0.000, 0.000], [0.667, 0.333, 0.500]]}


(4)
{"formula": "TlNi", "functional": "GGA-PBE", "state": "relaxed", "final_energy_ev_per_cell": -14.69, "dos_ef_per_ev_atom": 0.623, "lattice_angstrom": [[-0.782, -0.300, 2.992], [-3.752, -3.560, -1.338], [2.941, -3.266, 0.442]], "species": ["Ni", "Ni", "Tl", "Tl"], "fractional_positions": [[0.000, 0.000, 0.074], [0.500, 0.500, 0.759], [0.000, 0.500, 0.248], [0.500, 0.000, 0.585]]}


(5)
{"formula": "Tl4Ni5", "functional": "GGA-PBE", "state": "relaxed", "final_energy_ev_per_cell": -70.03, "dos_ef_per_ev_atom": 0.733, "lattice_angstrom": [[7.834, 0.000, 0.000], [-3.917, 6.784, 0.000], [0.000, 0.000, 5.628]], "species": ["Ni", "Ni", "Ni", "Ni", "Ni", "Ni", "Ni", "Ni", "Ni", "Ni", "Tl", "Tl", "Tl", "Tl", "Tl", "Tl", "Tl", "Tl"], "fractional_positions": [[0.000, 0.294, 0.750], [0.000, 0.706, 0.250], [0.706, 0.000, 0.250], [0.706, 0.706, 0.750], [0.294, 0.000, 0.750], [0.333, 0.667, 0.500], [0.667, 0.333, 0.500], [0.294, 0.294, 0.250], [0.333, 0.667, 0.000], [0.667, 0.333, 0.000], [0.620, 0.000, 0.750], [0.000, 0.620, 0.750], [0.380, 0.380, 0.750], [0.380, 0.000, 0.250], [0.000, 0.000, 0.500], [0.000, 0.000, 0.000], [0.620, 0.620, 0.250], [0.000, 0.380, 0.250]]}


(6)
{"formula": "TlNi", "functional": "GGA-PBE", "state": "relaxed", "final_energy_ev_per_cell": -45.64, "dos_ef_per_ev_atom": 1.144, "lattice_angstrom": [[3.992, 0.000, 0.000], [-1.996, 3.457, 0.000], [0.000, 0.000, 17.669]], "species": ["Tl", "Tl", "Tl", "Tl", "Tl", "Tl", "Ni", "Ni", "Ni", "Ni", "Ni", "Ni"], "fractional_positions": [[0.333, 0.667, 0.565], [0.000, 0.000, 0.722], [0.667, 0.333, 0.435], [0.000, 0.000, 0.278], [0.333, 0.667, 0.856], [0.667, 0.333, 0.144], [0.000, 0.000, 0.065], [0.667, 0.333, 0.986], [0.667, 0.333, 0.640], [0.333, 0.667, 0.014], [0.000, 0.000, 0.935], [0.333, 0.667, 0.360]]}


(7)
{"formula": "TlNi", "functional": "GGA-PBE", "state": "relaxed", "final_energy_ev_per_cell": -117.69, "dos_ef_per_ev_atom": 0.988, "lattice_angstrom": [[7.799, 0.000, 0.000], [0.000, 12.969, 0.000], [0.000, 0.000, 6.402]], "species": ["Tl", "Tl", "Tl", "Tl", "Tl", "Tl", "Tl", "Tl", "Tl", "Tl", "Tl", "Tl", "Tl", "Tl", "Tl", "Tl", "Ni", "Ni", "Ni", "Ni", "Ni", "Ni", "Ni", "Ni", "Ni", "Ni", "Ni", "Ni", "Ni", "Ni", "Ni", "Ni"], "fractional_positions": [[0.809, 0.500, 0.000], [0.941, 0.750, 0.250], [0.441, 0.250, 0.250], [0.559, 0.250, 0.750], [0.059, 0.750, 0.750], [0.809, 0.000, 0.500], [0.559, 0.750, 0.250], [0.309, 0.500, 0.500], [0.059, 0.250, 0.250], [0.191, 0.000, 0.500], [0.191, 0.500, 0.000], [0.941, 0.250, 0.750], [0.691, 0.500, 0.500], [0.441, 0.750, 0.750], [0.691, 0.000, 0.000], [0.309, 0.000, 0.000], [0.750, 0.655, 0.750], [0.750, 0.345, 0.250], [0.250, 0.345, 0.750], [0.750, 0.845, 0.750], [0.500, 0.095, 0.500], [0.500, 0.905, 0.500], [0.750, 0.155, 0.250], [0.250, 0.655, 0.250], [0.000, 0.595, 0.500], [0.250, 0.845, 0.250], [0.500, 0.595, 0.000], [0.000, 0.405, 0.500], [0.500, 0.405, 0.000], [0.250, 0.155, 0.750], [0.000, 0.095, 0.000], [0.000, 0.905, 0.000]]}


(8)
{"formula": "TlNi5", "functional": "GGA-PBE", "state": "relaxed", "final_energy_ev_per_cell": -29.88, "dos_ef_per_ev_atom": 1.193, "lattice_angstrom": [[0.000, 3.380, 3.380], [3.380, 0.000, 3.380], [3.380, 3.380, 0.000]], "species": ["Ni", "Ni", "Ni", "Ni", "Ni", "Tl"], "fractional_positions": [[0.624, 0.624, 0.127], [0.250, 0.250, 0.250], [0.624, 0.127, 0.624], [0.127, 0.624, 0.624], [0.624, 0.624, 0.624], [0.000, 0.000, 0.000]]}


(9)
{"formula": "TlNi", "functional": "GGA-PBE", "state": "relaxed", "final_energy_ev_per_cell": -15.04, "dos_ef_per_ev_atom": 1.075, "lattice_angstrom": [[3.187, 0.000, 0.000], [0.000, 3.187, 0.000], [0.000, 0.000, 7.617]], "species": ["Tl", "Tl", "Ni", "Ni"], "fractional_positions": [[0.750, 0.750, 0.311], [0.250, 0.250, 0.689], [0.750, 0.750, 0.937], [0.250, 0.250, 0.063]]}


(10)
{"formula": "TlNi", "functional": "GGA-PBE", "state": "relaxed", "final_energy_ev_per_cell": -29.96, "dos_ef_per_ev_atom": 0.465, "lattice_angstrom": [[5.205, 0.000, 0.000], [0.000, 5.205, 0.000], [0.000, 0.000, 5.205]], "species": ["Tl", "Tl", "Tl", "Tl", "Ni", "Ni", "Ni", "Ni"], "fractional_positions": [[0.088, 0.088, 0.088], [0.588, 0.412, 0.912], [0.912, 0.588, 0.412], [0.412, 0.912, 0.588], [0.391, 0.391, 0.391], [0.891, 0.109, 0.609], [0.609, 0.891, 0.109], [0.109, 0.609, 0.891]]}


(11)
{"formula": "TlNi", "functional": "GGA-PBE", "state": "relaxed", "final_energy_ev_per_cell": -7.30, "dos_ef_per_ev_atom": 0.621, "lattice_angstrom": [[-3.466, -0.475, -1.409], [-2.744, -1.402, 2.175], [-2.822, 2.226, 1.144]], "species": ["Ni", "Tl"], "fractional_positions": [[0.000, 0.000, 0.000], [0.500, 0.500, 0.500]]}


(12)
{"formula": "TlNi", "functional": "GGA-PBE", "state": "relaxed", "final_energy_ev_per_cell": -60.90, "dos_ef_per_ev_atom": 0.664, "lattice_angstrom": [[-5.307, 0.331, 0.458], [0.449, -3.174, 7.499], [0.650, 6.602, 2.755]], "species": ["Tl", "Tl", "Tl", "Tl", "Tl", "Tl", "Tl", "Tl", "Ni", "Ni", "Ni", "Ni", "Ni", "Ni", "Ni", "Ni"], "fractional_positions": [[0.216, 0.415, 0.892], [0.253, 0.842, 0.932], [0.753, 0.658, 0.068], [0.247, 0.158, 0.432], [0.716, 0.085, 0.108], [0.284, 0.585, 0.392], [0.747, 0.342, 0.568], [0.784, 0.915, 0.608], [0.535, 0.626, 0.732], [0.035, 0.874, 0.268], [0.465, 0.126, 0.768], [0.787, 0.635, 0.426], [0.213, 0.135, 0.074], [0.965, 0.374, 0.232], [0.287, 0.865, 0.574], [0.713, 0.365, 0.926]]}


(13)
{"formula": "Tl5Ni4", "functional": "GGA-PBE", "state": "relaxed", "dos_ef_per_ev_atom": 0.713, "polymorph_energy_ev_per_fu": 0.00, "lattice_angstrom": [[8.008, 0.000, 0.000], [-4.004, 6.935, 0.000], [0.000, 0.000, 6.124]], "species": ["Tl", "Tl", "Tl", "Tl", "Tl", "Tl", "Tl", "Tl", "Tl", "Tl", "Ni", "Ni", "Ni", "Ni", "Ni", "Ni", "Ni", "Ni"], "fractional_positions": [[0.667, 0.333, 0.000], [0.728, 0.000, 0.250], [0.000, 0.272, 0.750], [0.272, 0.272, 0.250], [0.667, 0.333, 0.500], [0.272, 0.000, 0.750], [0.333, 0.667, 0.500], [0.333, 0.667, 0.000], [0.000, 0.728, 0.250], [0.728, 0.728, 0.750], [0.000, 0.000, 0.000], [0.396, 0.396, 0.750], [0.000, 0.396, 0.250], [0.396, 0.000, 0.250], [0.604, 0.604, 0.250], [0.000, 0.000, 0.500], [0.000, 0.604, 0.750], [0.604, 0.000, 0.750]]}


(14)
{"formula": "TlNi", "functional": "GGA-PBE", "state": "relaxed", "final_energy_ev_per_cell": -46.02, "dos_ef_per_ev_atom": 0.872, "lattice_angstrom": [[-3.818, 3.532, -6.050], [-2.468, -7.101, 2.673], [-2.616, 1.962, 2.797]], "species": ["Ni", "Ni", "Ni", "Ni", "Ni", "Ni", "Tl", "Tl", "Tl", "Tl", "Tl", "Tl"], "fractional_positions": [[0.119, 0.560, 0.250], [0.560, 0.119, 0.750], [0.440, 0.881, 0.250], [0.440, 0.560, 0.250], [0.560, 0.440, 0.750], [0.881, 0.440, 0.750], [0.193, 0.807, 0.750], [0.807, 0.193, 0.250], [0.807, 0.614, 0.250], [0.386, 0.193, 0.250], [0.193, 0.386, 0.750], [0.614, 0.807, 0.750]]}


(15)
{"formula": "TlNi5", "functional": "GGA-PBE", "state": "relaxed", "final_energy_ev_per_cell": -30.26, "dos_ef_per_ev_atom": 1.584, "lattice_angstrom": [[3.718, 0.000, 0.000], [0.000, 3.726, 0.000], [0.000, -1.863, 5.492]], "species": ["Ni", "Ni", "Ni", "Ni", "Ni", "Tl"], "fractional_positions": [[0.500, 0.822, 0.644], [0.000, 0.676, 0.352], [0.000, 0.324, 0.648], [0.500, 0.500, 0.000], [0.500, 0.178, 0.356], [0.000, 0.000, 0.000]]}


(16)
{"formula": "TlNi", "functional": "GGA-PBE", "state": "relaxed", "final_energy_ev_per_cell": -15.07, "dos_ef_per_ev_atom": 0.611, "lattice_angstrom": [[6.550, 0.024, 0.015], [5.333, 3.803, 0.015], [5.333, 1.718, 3.393]], "species": ["Ni", "Ni", "Tl", "Tl"], "fractional_positions": [[0.662, 0.662, 0.662], [0.338, 0.338, 0.338], [0.098, 0.098, 0.098], [0.902, 0.902, 0.902]]}


(17)
{"formula": "TlNi", "functional": "GGA-PBE", "state": "relaxed", "final_energy_ev_per_cell": -15.35, "dos_ef_per_ev_atom": 0.432, "lattice_angstrom": [[4.164, 0.000, 0.000], [-2.082, 3.606, 0.000], [0.000, 0.000, 5.101]], "species": ["Tl", "Tl", "Ni", "Ni"], "fractional_positions": [[0.333, 0.667, 0.250], [0.667, 0.333, 0.750], [0.000, 0.000, 0.000], [0.000, 0.000, 0.500]]}


(18)
{"formula": "TlNi", "functional": "GGA-PBE", "state": "relaxed", "final_energy_ev_per_cell": -13.86, "dos_ef_per_ev_atom": 1.179, "lattice_angstrom": [[4.699, 0.000, 0.000], [2.349, 4.069, 0.000], [2.349, 1.356, 3.837]], "species": ["Ni", "Ni", "Tl", "Tl"], "fractional_positions": [[0.250, 0.250, 0.250], [0.000, 0.000, 0.000], [0.500, 0.500, 0.500], [0.750, 0.750, 0.750]]}


(19)
{"formula": "Tl3Ni5", "functional": "GGA-PBE", "state": "relaxed", "final_energy_ev_per_cell": -33.69, "dos_ef_per_ev_atom": 0.592, "lattice_angstrom": [[3.597, -4.179, 0.000], [3.597, 4.179, 0.000], [0.000, 0.000, 4.080]], "species": ["Ni", "Ni", "Ni", "Ni", "Ni", "Tl", "Tl", "Tl"], "fractional_positions": [[0.268, 0.268, 0.500], [0.000, 0.000, 0.000], [0.500, 0.000, 0.000], [0.732, 0.732, 0.500], [0.000, 0.500, 0.000], [0.500, 0.500, 0.000], [0.785, 0.215, 0.500], [0.215, 0.785, 0.500]]}


(20)
{"formula": "TlNi", "functional": "GGA-PBE", "state": "relaxed", "final_energy_ev_per_cell": -60.82, "dos_ef_per_ev_atom": 1.024, "lattice_angstrom": [[9.636, 0.000, 0.000], [0.000, 9.636, 0.000], [0.000, 0.000, 3.519]], "species": ["Ni", "Ni", "Ni", "Ni", "Ni", "Ni", "Ni", "Ni", "Tl", "Tl", "Tl", "Tl", "Tl", "Tl", "Tl", "Tl"], "fractional_positions": [[0.397, 0.075, 0.000], [0.575, 0.103, 0.500], [0.603, 0.925, 0.000], [0.103, 0.425, 0.500], [0.425, 0.897, 0.500], [0.897, 0.575, 0.500], [0.075, 0.603, 0.000], [0.925, 0.397, 0.000], [0.881, 0.801, 0.000], [0.619, 0.699, 0.500], [0.699, 0.381, 0.500], [0.381, 0.301, 0.500], [0.301, 0.619, 0.500], [0.801, 0.119, 0.000], [0.119, 0.199, 0.000], [0.199, 0.881, 0.000]]}


(21)
{"formula": "TlNi5", "functional": "GGA-PBE", "state": "relaxed", "final_energy_ev_per_cell": -29.76, "dos_ef_per_ev_atom": 1.802, "lattice_angstrom": [[1.404, -6.753, 0.000], [1.404, 6.753, 0.000], [0.000, 0.000, 4.108]], "species": ["Ni", "Ni", "Ni", "Ni", "Ni", "Tl"], "fractional_positions": [[0.979, 0.021, 0.000], [0.330, 0.670, 0.000], [0.438, 0.562, 0.500], [0.681, 0.319, 0.000], [0.793, 0.207, 0.500], [0.112, 0.888, 0.500]]}


(22)
{"formula": "TlNi", "functional": "GGA-PBE", "state": "relaxed", "final_energy_ev_per_cell": -38.68, "dos_ef_per_ev_atom": 1.023, "lattice_angstrom": [[7.243, 0.000, 0.000], [0.000, 7.243, 0.000], [0.000, 0.000, 7.243]], "species": ["Tl", "Tl", "Tl", "Tl", "Tl", "Tl", "Ni", "Ni", "Ni", "Ni", "Ni", "Ni"], "fractional_positions": [[0.000, 0.500, 0.750], [0.250, 0.000, 0.500], [0.500, 0.250, 0.000], [0.000, 0.500, 0.250], [0.500, 0.750, 0.000], [0.750, 0.000, 0.500], [0.500, 0.000, 0.750], [0.500, 0.000, 0.250], [0.000, 0.750, 0.500], [0.250, 0.500, 0.000], [0.000, 0.250, 0.500], [0.750, 0.500, 0.000]]}


(23)
{"formula": "Tl4Ni", "functional": "GGA-PBE", "state": "relaxed", "dos_ef_per_ev_atom": 0.616, "polymorph_energy_ev_per_fu": 0.00, "lattice_angstrom": [[5.179, 0.000, 0.000], [0.000, 5.179, 0.000], [0.000, 0.000, 5.179]], "species": ["Tl", "Tl", "Tl", "Tl", "Ni"], "fractional_positions": [[0.000, 0.000, 0.000], [0.500, 0.000, 0.500], [0.500, 0.500, 0.000], [0.000, 0.500, 0.500], [0.500, 0.500, 0.500]]}